Record 1
! GGA-PBE SrCaLa2Ru, optimized geometry; values from VASP
&SYSTEM
  ibrav = 0, nat = 5, ntyp = 4
/
ATOMIC_SPECIES
Sr 87.62 Sr.upf
Ca 40.08 Ca.upf
La 138.91 La.upf
Ru 101.07 Ru.upf
ATOMIC_POSITIONS angstrom
Sr 0.000 0.000 0.000
Ca 2.759 2.759 0.000
La 0.000 2.759 3.016
La 2.759 0.000 3.016
Ru 2.759 2.759 3.016
CELL_PARAMETERS angstrom
5.517 0.000 0.000
0.000 5.517 0.000
0.000 0.000 6.033
! Energy above the most stable polymorph in this dataset ... 0 meV per atom
! DFT formation energy ... -64 kJ/mol of formula units
! Space group ... P4/mmm (123)


Record 2
! GGA-PBE Sr2CaLaRu, optimized geometry; values from VASP
&SYSTEM
  ibrav = 0, nat = 5, ntyp = 4
/
ATOMIC_SPECIES
Sr 87.62 Sr.upf
Ca 40.08 Ca.upf
La 138.91 La.upf
Ru 101.07 Ru.upf
ATOMIC_POSITIONS angstrom
Sr 0.000 3.069 0.000
Sr 3.069 0.000 0.000
Ca 0.000 0.000 2.621
La 3.069 3.069 2.621
Ru 3.069 3.069 0.000
CELL_PARAMETERS angstrom
6.138 0.000 0.000
0.000 6.138 0.000
0.000 0.000 5.242
! DFT formation energy ... 11 kJ/mol of formula units
! Space group ... P4/mmm (123)


Record 3
! GGA-PBE CaLa2ZnRu, optimized geometry; values from VASP
&SYSTEM
  ibrav = 0, nat = 5, ntyp = 4
/
ATOMIC_SPECIES
Ca 40.08 Ca.upf
La 138.91 La.upf
Zn 65.41 Zn.upf
Ru 101.07 Ru.upf
ATOMIC_POSITIONS angstrom
Ca 0.000 0.000 0.000
La 0.000 2.675 2.846
La 2.675 0.000 2.846
Zn 2.675 2.675 0.000
Ru 0.000 0.000 2.846
CELL_PARAMETERS angstrom
5.350 0.000 0.000
0.000 5.350 0.000
0.000 0.000 5.692
! Energy above the most stable polymorph in this dataset ... 37 meV per atom
! DFT formation energy ... -37 kJ/mol of formula units
! Space group ... P4/mmm (123)


Record 4
! GGA-PBE CaLa2ZnRu, optimized geometry; values from VASP
&SYSTEM
  ibrav = 0, nat = 5, ntyp = 4
/
ATOMIC_SPECIES
Ca 40.08 Ca.upf
La 138.91 La.upf
Zn 65.41 Zn.upf
Ru 101.07 Ru.upf
ATOMIC_POSITIONS angstrom
Ca 0.000 0.000 0.000
La 0.000 2.710 2.608
La 2.710 0.000 2.608
Zn 2.710 2.710 0.000
Ru 2.710 2.710 2.608
CELL_PARAMETERS angstrom
5.420 0.000 0.000
0.000 5.420 0.000
0.000 0.000 5.216
! Energy above the most stable polymorph in this dataset ... 0 meV per atom
! DFT formation energy ... -55 kJ/mol of formula units
! Space group ... P4/mmm (123)


- Number 1 is which compound?
  SrCaLa2Ru


- Among the records above, which one has the highest DFT formation energy?
  Sr2CaLaRu